No. 1
# LaSbP3 | Alexandria via LeMat-Bulk | GGA-PBEsol | optimized geometry
# Fermi-level density of states: 0.76 states/eV/atom
# ΔE_f (raw): 139 meV per atom
data_LaSbP3
_symmetry_space_group_name_H-M 'P m -3 m'
_symmetry_Int_Tables_number 221
_symmetry_space_group_name_Hall '-P 4 2 3'
_cell_length_a 4.963
_cell_length_b 4.963
_cell_length_c 4.963
_cell_angle_alpha 90.00
_cell_angle_beta 90.00
_cell_angle_gamma 90.00
loop_
_atom_site_label
_atom_site_type_symbol
_atom_site_fract_x
_atom_site_fract_y
_atom_site_fract_z
La1 La 0.000 0.000 0.000
Sb1 Sb 0.500 0.500 0.500
P1 P 0.000 0.500 0.500



No. 2
# ReBr | Alexandria via LeMat-Bulk | GGA-PBEsol | optimized geometry
# Fermi-level density of states: 1.57 states/eV/atom
# Excess energy over the best structure of this formula in the dataset: 6.89 kJ/mol of atoms
# ΔE_f (raw): 1470 meV per atom
data_ReBr
_symmetry_space_group_name_H-M 'C m m m'
_symmetry_Int_Tables_number 65
_symmetry_space_group_name_Hall '-C 2 2'
_cell_length_a 2.861
_cell_length_b 5.281
_cell_length_c 4.516
_cell_angle_alpha 90.00
_cell_angle_beta 90.00
_cell_angle_gamma 90.00
loop_
_atom_site_label
_atom_site_type_symbol
_atom_site_fract_x
_atom_site_fract_y
_atom_site_fract_z
Re1 Re 0.000 0.000 0.000
Br1 Br 0.000 0.500 0.500



No. 3
# CaZn2Ag2 | Alexandria via LeMat-Bulk | GGA-PBEsol | optimized geometry
# Fermi-level density of states: 0.47 states/eV/atom
# Energy of formation from the pure elements: -0.84 eV/f.u.
data_CaZn2Ag2
_symmetry_space_group_name_H-M 'I 4/m m m'
_symmetry_Int_Tables_number 139
_symmetry_space_group_name_Hall '-I 4 2'
_cell_length_a 3.991
_cell_length_b 3.991
_cell_length_c 12.250
_cell_angle_alpha 90.00
_cell_angle_beta 90.00
_cell_angle_gamma 90.00
loop_
_atom_site_label
_atom_site_type_symbol
_atom_site_fract_x
_atom_site_fract_y
_atom_site_fract_z
Ca1 Ca 0.000 0.000 0.000
Zn1 Zn 0.000 0.500 0.250
Ag1 Ag 0.000 0.000 0.389



No. 4
# RbNaS | Alexandria via LeMat-Bulk | GGA-PBEsol | optimized geometry
# Fermi-level density of states: 0.00 states/eV/atom
# ΔE_f (raw): -1075 meV per atom
data_RbNaS
_symmetry_space_group_name_H-M 'P 4/n m m'
_symmetry_Int_Tables_number 129
_cell_length_a 4.648
_cell_length_b 4.648
_cell_length_c 7.553
_cell_angle_alpha 90.00
_cell_angle_beta 90.00
_cell_angle_gamma 90.00
loop_
_symmetry_equiv_pos_as_xyz
'x,y,z'
'-x,-y,-z'
'-y+1/2,x,z'
'y+1/2,-x,-z'
'-x+1/2,-y+1/2,z'
'x+1/2,y+1/2,-z'
'y,-x+1/2,z'
'-y,x+1/2,-z'
'x+1/2,-y,-z'
'-x+1/2,y,z'
'-y,-x,-z'
'y,x,z'
'-x,y+1/2,-z'
'x,-y+1/2,z'
'y+1/2,x+1/2,-z'
'-y+1/2,-x+1/2,z'
loop_
_atom_site_label
_atom_site_type_symbol
_atom_site_fract_x
_atom_site_fract_y
_atom_site_fract_z
Rb1 Rb 0.250 0.250 0.149
Na1 Na 0.250 0.750 0.500
S1 S 0.250 0.250 0.709



No. 5
# YLuTe3 | Alexandria via LeMat-Bulk | GGA-PBEsol | optimized geometry
# ΔE_f (raw): -1372 meV per atom
data_YLuTe3
_symmetry_space_group_name_H-M 'C 1 2 1'
_symmetry_Int_Tables_number 5
_cell_length_a 7.325
_cell_length_b 12.729
_cell_length_c 7.398
_cell_angle_alpha 90.00
_cell_angle_beta 109.30
_cell_angle_gamma 90.00
loop_
_symmetry_equiv_pos_as_xyz
'x,y,z'
'-x,y,-z'
'x+1/2,y+1/2,z'
'-x+1/2,y+1/2,-z'
loop_
_atom_site_label
_atom_site_type_symbol
_atom_site_fract_x
_atom_site_fract_y
_atom_site_fract_z
Y1 Y 0.000 0.000 0.000
Y2 Y 0.000 0.163 0.500
Lu1 Lu 0.000 0.498 0.500
Lu2 Lu 0.000 0.834 0.500
Te1 Te 0.243 0.495 0.245
Te2 Te 0.243 0.666 0.750
Te3 Te 0.249 0.832 0.250



No. 6
# Ta3SnS6 | Alexandria via LeMat-Bulk | GGA-PBEsol | optimized geometry
# Fermi-level density of states: 0.29 states/eV/atom
# ΔE_f (raw): -1090 meV per atom
data_Ta3SnS6
_symmetry_space_group_name_H-M 'P 63/m c m'
_symmetry_Int_Tables_number 193
_symmetry_space_group_name_Hall '-P 6c 2'
_cell_length_a 5.7230
_cell_length_b 5.7230
_cell_length_c 14.4714
_cell_angle_alpha 90.00
_cell_angle_beta 90.00
_cell_angle_gamma 120.00
loop_
_atom_site_label
_atom_site_type_symbol
_atom_site_fract_x
_atom_site_fract_y
_atom_site_fract_z
Ta1 Ta 0.0000 0.0000 0.2500
Ta2 Ta 0.3333 0.6667 0.2500
Sn1 Sn 0.0000 0.0000 0.0000
S1 S 0.0000 0.3359 0.1424



No. 7
# Ni2SbBr | Alexandria via LeMat-Bulk | GGA-PBEsol | optimized geometry
# Fermi-level density of states: 0.63 states/eV/atom
# Excess energy over the best structure of this formula in the dataset: 20.34 kJ/mol of atoms
# ΔE_f (raw): 239 meV per atom
data_Ni2SbBr
_symmetry_space_group_name_H-M 'P 4/m m m'
_symmetry_Int_Tables_number 123
_symmetry_space_group_name_Hall '-P 4 2'
_cell_length_a 3.282
_cell_length_b 3.282
_cell_length_c 6.307
_cell_angle_alpha 90.00
_cell_angle_beta 90.00
_cell_angle_gamma 90.00
loop_
_atom_site_label
_atom_site_type_symbol
_atom_site_fract_x
_atom_site_fract_y
_atom_site_fract_z
Ni1 Ni 0.000 0.000 0.201
Sb1 Sb 0.500 0.500 0.000
Br1 Br 0.500 0.500 0.500



No. 8
# Er2Se3 | Alexandria via LeMat-Bulk | GGA-PBEsol | optimized geometry
# Fermi-level density of states: 0.07 states/eV/atom
# ΔE_f (raw): -1850 meV per atom
data_Er2Se3
_symmetry_space_group_name_H-M 'P -4 m 2'
_symmetry_Int_Tables_number 115
_cell_length_a 3.876
_cell_length_b 3.876
_cell_length_c 7.939
_cell_angle_alpha 90.00
_cell_angle_beta 90.00
_cell_angle_gamma 90.00
loop_
_symmetry_equiv_pos_as_xyz
'x,y,z'
'y,-x,-z'
'-x,-y,z'
'-y,x,-z'
'-x,y,z'
'-y,-x,-z'
'x,-y,z'
'y,x,-z'
loop_
_atom_site_label
_atom_site_type_symbol
_atom_site_fract_x
_atom_site_fract_y
_atom_site_fract_z
Er1 Er 0.000 0.500 0.239
Se1 Se 0.000 0.500 0.867
Se2 Se 0.500 0.500 0.500



No. 9
# ZrTcMo | Alexandria via LeMat-Bulk | GGA-PBEsol | optimized geometry
# Fermi-level density of states: 0.62 states/eV/atom
# Excess energy over the best structure of this formula in the dataset: 11.44 kJ/mol of atoms
# Energy of formation from the pure elements: -0.13 eV/f.u.
data_ZrTcMo
_symmetry_space_group_name_H-M 'P 3 m 1'
_symmetry_Int_Tables_number 156
_cell_length_a 4.4379
_cell_length_b 4.4379
_cell_length_c 2.8838
_cell_angle_alpha 90.00
_cell_angle_beta 90.00
_cell_angle_gamma 120.00
loop_
_symmetry_equiv_pos_as_xyz
'x,y,z'
'-y,x-y,z'
'-x+y,-x,z'
'-y,-x,z'
'-x+y,y,z'
'x,x-y,z'
loop_
_atom_site_label
_atom_site_type_symbol
_atom_site_fract_x
_atom_site_fract_y
_atom_site_fract_z
Zr1 Zr 0.0000 0.0000 0.0000
Tc1 Tc 0.6667 0.3333 0.6583
Mo1 Mo 0.3333 0.6667 0.3483



No. 10
# HgP2Os | Alexandria via LeMat-Bulk | GGA-PBEsol | optimized geometry
# Fermi-level density of states: 0.58 states/eV/atom
# Energy of formation from the pure elements: 0.42 eV/f.u.
data_HgP2Os
_symmetry_space_group_name_H-M 'I m m 2'
_symmetry_Int_Tables_number 44
_cell_length_a 2.881
_cell_length_b 2.935
_cell_length_c 16.864
_cell_angle_alpha 90.00
_cell_angle_beta 90.00
_cell_angle_gamma 90.00
loop_
_symmetry_equiv_pos_as_xyz
'x,y,z'
'-x,-y,z'
'-x,y,z'
'x,-y,z'
'x+1/2,y+1/2,z+1/2'
'-x+1/2,-y+1/2,z+1/2'
'-x+1/2,y+1/2,z+1/2'
'x+1/2,-y+1/2,z+1/2'
loop_
_atom_site_label
_atom_site_type_symbol
_atom_site_fract_x
_atom_site_fract_y
_atom_site_fract_z
Hg1 Hg 0.000 0.000 0.000
P1 P 0.000 0.000 0.349
P2 P 0.000 0.500 0.163
Os1 Os 0.000 0.500 0.738



No. 11
# CsZnGa2Sn | Alexandria via LeMat-Bulk | GGA-PBEsol | optimized geometry
# Fermi-level density of states: 0.79 states/eV/atom
# Energy of formation from the pure elements: 2.31 eV/f.u.
data_CsZnGa2Sn
_symmetry_space_group_name_H-M 'P 4/m m m'
_symmetry_Int_Tables_number 123
_symmetry_space_group_name_Hall '-P 4 2'
_cell_length_a 4.982
_cell_length_b 4.982
_cell_length_c 5.756
_cell_angle_alpha 90.00
_cell_angle_beta 90.00
_cell_angle_gamma 90.00
loop_
_atom_site_label
_atom_site_type_symbol
_atom_site_fract_x
_atom_site_fract_y
_atom_site_fract_z
Cs1 Cs 0.000 0.000 0.000
Zn1 Zn 0.000 0.000 0.500
Ga1 Ga 0.000 0.500 0.500
Sn1 Sn 0.500 0.500 0.000



No. 12
# NdMnO3 | Alexandria via LeMat-Bulk | GGA-PBEsol | optimized geometry
# Fermi-level density of states: 0.18 states/eV/atom
# ΔE_f (raw): -2606 meV per atom
data_NdMnO3
_symmetry_space_group_name_H-M 'P n m a'
_symmetry_Int_Tables_number 62
_cell_length_a 5.551
_cell_length_b 7.681
_cell_length_c 5.398
_cell_angle_alpha 90.00
_cell_angle_beta 90.00
_cell_angle_gamma 90.00
loop_
_symmetry_equiv_pos_as_xyz
'x,y,z'
'-x,-y,-z'
'-x+1/2,-y,z+1/2'
'x+1/2,y,-z+1/2'
'x+1/2,-y+1/2,-z+1/2'
'-x+1/2,y+1/2,z+1/2'
'-x,y+1/2,-z'
'x,-y+1/2,z'
loop_
_atom_site_label
_atom_site_type_symbol
_atom_site_fract_x
_atom_site_fract_y
_atom_site_fract_z
Nd1 Nd 0.052 0.250 0.012
Mn1 Mn 0.000 0.000 0.500
O1 O 0.019 0.750 0.419
O2 O 0.208 0.544 0.790



| no. | raw total energy (eV/atom) |
| --- | --- |
| 1 | -5.32 |
| 2 | -6.13 |
| 3 | -2.55 |
| 4 | -3.34 |
| 5 | -5.83 |
| 6 | -7.91 |
| 7 | -4.45 |
| 8 | -6.13 |
| 9 | -10.75 |
| 10 | -5.99 |
| 11 | -2.23 |
| 12 | -8.74 |